Computed, not measured: a geometry-optimized CsTlRe structure at the PBE level of DFT.

Lattice parameters (Å, degrees): 7.491 7.491 7.491 90.00 90.00 90.00
Space group F-43m (No. 216)
Inequivalent atoms, fractional coordinates:
Cs 0.000 0.000 0.000 x4
Tl 0.000 0.000 0.500 x4
Re 0.250 0.250 0.250 x4

As for the size of the total moment: 2.95 μB/f.u.

=====

Computed, not measured: a geometry-optimized Tm3Zr3FeSb2 structure at the PBE level of DFT.

Lattice parameters (Å, degrees): 7.9838 7.9838 3.7586 90.00 90.00 120.00
Space group P-62m (No. 189)
Inequivalent atoms, fractional coordinates:
Tm 0.0000 0.2423 0.0000 x3
Zr 0.0000 0.6006 0.5000 x3
Fe 0.0000 0.0000 0.5000 x1
Sb 0.3333 0.6667 0.0000 x2

As for the size of the total moment: 1.00 μB/f.u.

=====

Computed, not measured: a geometry-optimized CoCuBiPd structure at the PBE level of DFT.

Lattice parameters (Å, degrees): 6.346 6.346 6.346 90.00 90.00 90.00
Space group F-43m (No. 216)
Inequivalent atoms, fractional coordinates:
Co 0.000 0.000 0.000 x4
Cu 0.000 0.000 0.500 x4
Bi 0.250 0.250 0.750 x4
Pd 0.250 0.250 0.250 x4

As for the size of the total moment: 1.36 μB/f.u.

=====

Computed, not measured: a geometry-optimized Dy3Lu4Ni2Te2 structure at the PBE level of DFT.

Lattice parameters (Å, degrees): 3.818 15.390 9.501 90.00 90.00 90.00
Space group Imm2 (No. 44)
Inequivalent atoms, fractional coordinates:
Dy 0.000 0.000 0.000 x2
Dy 0.000 0.134 0.420 x4
Lu 0.000 0.315 0.623 x4
Lu 0.000 0.353 0.273 x4
Ni 0.000 0.234 0.930 x4
Te 0.000 0.000 0.666 x2
Te 0.000 0.500 0.764 x2

As for the size of the total moment: 0.03 μB/f.u.

=====

Computed, not measured: a geometry-optimized DyYCl6 structure at the PBE level of DFT.

Lattice parameters (Å, degrees): 6.858 11.928 6.436 90.00 110.93 90.00
Space group C2 (No. 5)
Inequivalent atoms, fractional coordinates:
Dy 0.000 0.000 0.000 x2
Y 0.000 0.669 0.000 x2
Cl 0.223 0.835 0.246 x4
Cl 0.241 0.013 0.758 x4
Cl 0.242 0.656 0.758 x4

As for the size of the total moment: 0.00 μB/f.u.

=====

Computed, not measured: a geometry-optimized RbMo3As5 structure at the PBE level of DFT.

Lattice parameters (Å, degrees): 5.3991 5.3991 8.4967 90.00 90.00 120.00
Space group P6/mmm (No. 191)
Inequivalent atoms, fractional coordinates:
Rb 0.0000 0.0000 0.0000 x1
Mo 0.0000 0.5000 0.5000 x3
As 0.0000 0.0000 0.5000 x1
As 0.3333 0.6667 0.2485 x4

As for the size of the total moment: 0.01 μB/f.u.

=====

Computed, not measured: a geometry-optimized NdTm2In structure at the PBE level of DFT.

Lattice parameters (Å, degrees): 4.867 4.867 4.812 90.00 90.00 90.00
Space group P4/mmm (No. 123)
Inequivalent atoms, fractional coordinates:
Nd 0.000 0.000 0.000 x1
Tm 0.000 0.500 0.500 x2
In 0.500 0.500 0.000 x1

As for the size of the total moment: 0.08 μB/f.u.

=====

Computed, not measured: a geometry-optimized BaAgAuS3 structure at the PBE level of DFT.

Lattice parameters (Å, degrees): 4.102 13.162 10.188 90.00 90.00 90.00
Space group Cmcm (No. 63)
Inequivalent atoms, fractional coordinates:
Ba 0.000 0.248 0.250 x4
Ag 0.000 0.463 0.750 x4
Au 0.000 0.000 0.000 x4
S 0.000 0.072 0.750 x4
S 0.000 0.371 0.532 x8

=====

Computed, not measured: a geometry-optimized Nd2TmSe3 structure at the PBE level of DFT.

Lattice parameters (Å, degrees): 4.1225 4.1225 10.3219 90.00 90.00 120.00
Space group P-3m1 (No. 164)
Inequivalent atoms, fractional coordinates:
Nd 0.3333 0.6667 0.1701 x2
Tm 0.0000 0.0000 0.5000 x1
Se 0.0000 0.0000 0.0000 x1
Se 0.3333 0.6667 0.6511 x2

As for the size of the total moment: 0.00 μB/f.u.

=====

Computed, not measured: a geometry-optimized LaCuPd structure at the PBE level of DFT.

Lattice parameters (Å, degrees): 6.619 6.619 6.619 90.00 90.00 90.00
Space group F-43m (No. 216)
Inequivalent atoms, fractional coordinates:
La 0.000 0.000 0.000 x4
Cu 0.000 0.000 0.500 x4
Pd 0.250 0.250 0.750 x4

As for the size of the total moment: 0.01 μB/f.u.

=====

Computed, not measured: a geometry-optimized CsTmO3 structure at the PBE level of DFT.

Lattice parameters (Å, degrees): 6.3485 6.3485 15.2243 90.00 90.00 120.00
Space group R-3c (No. 167, hexagonal axes)
Inequivalent atoms, fractional coordinates:
Cs 0.0000 0.0000 0.2500 x6
Tm 0.0000 0.0000 0.0000 x6
O 0.0000 0.4953 0.2500 x18

As for the size of the total moment: 2.00 μB/f.u.

=====

Computed, not measured: a geometry-optimized Gd3Mg3CuPt2 structure at the PBE level of DFT.

Lattice parameters (Å, degrees): 7.4990 7.4990 4.0039 90.00 90.00 120.00
Space group P-62m (No. 189)
Inequivalent atoms, fractional coordinates:
Gd 0.0000 0.5839 0.0000 x3
Mg 0.0000 0.2434 0.5000 x3
Cu 0.0000 0.0000 0.0000 x1
Pt 0.3333 0.6667 0.5000 x2

As for the size of the total moment: 0.01 μB/f.u.

=====

Computed, not measured: a geometry-optimized Cs2CdGaF6 structure at the PBE level of DFT.

Lattice parameters (Å, degrees): 8.683 8.683 8.683 90.00 90.00 90.00
Space group Fm-3m (No. 225)
Inequivalent atoms, fractional coordinates:
Cs 0.250 0.250 0.250 x8
Cd 0.000 0.000 0.000 x4
Ga 0.000 0.000 0.500 x4
F 0.000 0.000 0.278 x24

=====

Computed, not measured: a geometry-optimized YHo2In3AgIr2 structure at the PBE level of DFT.

Lattice parameters (Å, degrees): 3.825 13.417 7.692 90.00 90.00 90.00
Space group Amm2 (No. 38)
Inequivalent atoms, fractional coordinates:
Y 0.000 0.000 0.000 x2
Ho 0.000 0.206 0.618 x4
In 0.500 0.000 0.680 x2
In 0.500 0.134 0.277 x4
Ag 0.000 0.000 0.412 x2
Ir 0.500 0.169 0.910 x4

As for the size of the total moment: 0.02 μB/f.u.

=====

Computed, not measured: a geometry-optimized PuTcTe structure at the PBE level of DFT.

Lattice parameters (Å, degrees): 6.733 6.733 6.733 90.00 90.00 90.00
Space group F-43m (No. 216)
Inequivalent atoms, fractional coordinates:
Pu 0.000 0.000 0.000 x4
Tc 0.000 0.000 0.500 x4
Te 0.250 0.250 0.250 x4

As for the size of the total moment: 3.26 μB/f.u.

=====

Computed, not measured: a geometry-optimized BeAlCoSi structure at the PBE level of DFT.

Lattice parameters (Å, degrees): 5.633 5.633 5.633 90.00 90.00 90.00
Space group F-43m (No. 216)
Inequivalent atoms, fractional coordinates:
Be 0.000 0.000 0.000 x4
Al 0.250 0.250 0.250 x4
Co 0.250 0.250 0.750 x4
Si 0.000 0.000 0.500 x4

As for the size of the total moment: 0.00 μB/f.u.

=====

Computed, not measured: a geometry-optimized La7P12Pd17 structure at the PBE level of DFT.

Lattice parameters (Å, degrees): 24.695 4.117 13.729 90.00 112.16 90.00
Space group C2/m (No. 12)
Inequivalent atoms, fractional coordinates:
La 0.000 0.000 0.000 x2
La 0.083 0.000 0.763 x4
La 0.135 0.000 0.500 x4
La 0.234 0.500 0.186 x4
P 0.011 0.500 0.828 x4
P 0.060 0.500 0.574 x4
P 0.113 0.500 0.327 x4
P 0.135 0.000 0.080 x4
P 0.188 0.500 0.881 x4
P 0.234 0.500 0.618 x4
Pd 0.000 0.000 0.500 x2
Pd 0.026 0.500 0.375 x4
Pd 0.048 0.000 0.246 x4
Pd 0.094 0.500 0.145 x4
Pd 0.110 0.500 0.958 x4
Pd 0.161 0.500 0.693 x4
Pd 0.166 0.000 0.278 x4
Pd 0.203 0.000 0.987 x4
Pd 0.218 0.500 0.429 x4

As for the size of the total moment: 0.02 μB/f.u.

=====

Computed, not measured: a geometry-optimized Tb2Os2O5 structure at the PBE level of DFT.

Lattice parameters (Å, degrees): 3.544 3.544 9.404 90.00 90.00 90.00
Space group P4/mmm (No. 123)
Inequivalent atoms, fractional coordinates:
Tb 0.000 0.000 0.236 x2
Os 0.500 0.500 0.000 x1
Os 0.500 0.500 0.500 x1
O 0.000 0.000 0.000 x1
O 0.000 0.500 0.376 x4

As for the size of the total moment: 1.14 μB/f.u.

=====

Computed, not measured: a geometry-optimized HfBeCoB structure at the PBE level of DFT.

Lattice parameters (Å, degrees): 5.612 5.612 5.612 90.00 90.00 90.00
Space group F-43m (No. 216)
Inequivalent atoms, fractional coordinates:
Hf 0.000 0.000 0.000 x4
Be 0.250 0.250 0.250 x4
Co 0.250 0.250 0.750 x4
B 0.000 0.000 0.500 x4

As for the size of the total moment: 0.00 μB/f.u.

=====

Computed, not measured: a geometry-optimized TlCoTe2AuS structure at the PBE level of DFT.

Lattice parameters (Å, degrees): 3.952 17.537 8.806 90.00 90.00 90.00
Space group Cmcm (No. 63)
Inequivalent atoms, fractional coordinates:
Tl 0.000 0.248 0.250 x4
Co 0.000 0.500 0.000 x4
Te 0.000 0.093 0.054 x8
Au 0.000 0.134 0.750 x4
S 0.000 0.460 0.250 x4

As for the size of the total moment: 0.00 μB/f.u.

=====

Computed, not measured: a geometry-optimized NaHfInNi structure at the PBE level of DFT.

Lattice parameters (Å, degrees): 6.539 6.539 6.539 90.00 90.00 90.00
Space group F-43m (No. 216)
Inequivalent atoms, fractional coordinates:
Na 0.000 0.000 0.000 x4
Hf 0.250 0.250 0.250 x4
In 0.250 0.250 0.750 x4
Ni 0.000 0.000 0.500 x4

As for the size of the total moment: 0.00 μB/f.u.

=====

Computed, not measured: a geometry-optimized NdSmFe2Sn structure at the PBE level of DFT.

Lattice parameters (Å, degrees): 3.980 3.910 14.091 90.00 90.00 90.00
Space group Amm2 (No. 38)
Inequivalent atoms, fractional coordinates:
Nd 0.000 0.000 0.000 x2
Sm 0.000 0.000 0.268 x2
Fe 0.500 0.000 0.429 x2
Fe 0.500 0.000 0.837 x2
Sn 0.500 0.000 0.635 x2

As for the size of the total moment: 2.96 μB/f.u.

=====

no.,E (eV/atom)
1,-3.399
2,-6.596
3,-4.833
4,-5.167
5,-5.043
6,-6.407
7,-4.370
8,-3.872
9,-5.860
10,-4.966
11,-5.930
12,-4.538
13,-4.092
14,-5.543
15,-8.948
16,-5.000
17,-6.219
18,-7.609
19,-6.761
20,-3.908
21,-4.835
22,-6.239